[1]
## Hg5I2O12 (PBE-GGA)

Data for Hg5I2O12 after structural relaxation.

Cell lengths 6.213, 7.073, 8.184 Å; angles 109.97, 90.00, 116.05 degrees
Element x y z (fractional)
Hg  0.279  0.558  0.564
Hg  0.310  0.620  0.195
Hg  0.000  0.000  0.500
Hg  0.690  0.380  0.805
Hg  0.721  0.442  0.436
I  0.753  0.000  0.000
I  0.247  0.000  0.000
O  0.041  0.083  0.176
O  0.103  0.702  0.988
O  0.600  0.702  0.988
O  0.097  0.703  0.423
O  0.606  0.703  0.423
O  0.466  0.933  0.825
O  0.534  0.067  0.175
O  0.903  0.297  0.577
O  0.394  0.297  0.577
O  0.897  0.298  0.012
O  0.400  0.298  0.012
O  0.959  0.917  0.824

Computed properties:
Fermi-level density of states: 0.278 states/eV per atom

***

[2]
## Hg3IO6 (PBE-GGA)

Data for Hg3IO6 after structural relaxation.

Cell lengths 5.793, 5.989, 8.830 Å; angles 89.47, 88.93, 79.70 degrees
Element x y z (fractional)
Hg  0.477  0.052  0.754
Hg  0.500  0.500  0.000
Hg  0.523  0.948  0.246
Hg  0.003  0.454  0.253
Hg  0.000  0.000  0.500
Hg  0.997  0.546  0.747
I  0.500  0.500  0.500
I  0.000  0.000  0.000
O  0.318  0.811  0.941
O  0.314  0.783  0.587
O  0.364  0.572  0.308
O  0.636  0.428  0.692
O  0.686  0.217  0.413
O  0.682  0.189  0.059
O  0.744  0.666  0.441
O  0.852  0.754  0.113
O  0.863  0.912  0.783
O  0.137  0.088  0.217
O  0.148  0.246  0.887
O  0.256  0.334  0.559

Computed properties:
Energy above the lowest structure with this stoichiometry: 14.7 meV/atom
Fermi-level density of states: 0.026 states/eV per atom

***

[3]
## Hg2IO (PBE-GGA)

Data for Hg2IO after structural relaxation.

Cell lengths 3.943, 3.943, 8.239 Å; angles 76.15, 76.15, 60.00 degrees
Element x y z (fractional)
I  0.000  0.000  0.000
Hg  0.120  0.120  0.640
Hg  0.880  0.880  0.360
O  0.500  0.500  0.500

Computed properties:
Fermi-level density of states: 0.460 states/eV per atom

***

[4]
## Hg2IO (PBE-GGA)

Data for Hg2IO after structural relaxation.

Cell lengths 7.490, 6.383, 10.158 Å; angles 108.97, 90.00, 90.00 degrees
Element x y z (fractional)
Hg  0.804  0.040  0.898
Hg  0.196  0.960  0.102
Hg  0.804  0.460  0.602
Hg  0.196  0.540  0.398
Hg  0.831  0.528  0.211
Hg  0.169  0.472  0.789
Hg  0.831  0.972  0.289
Hg  0.169  0.028  0.711
I  0.338  0.054  0.364
I  0.662  0.946  0.636
I  0.338  0.446  0.136
I  0.662  0.554  0.864
O  0.126  0.672  0.607
O  0.874  0.328  0.393
O  0.126  0.828  0.893
O  0.874  0.172  0.107

***

[5]
## Hg7IO4 (PBE-GGA)

Data for Hg7IO4 after structural relaxation.

Cell lengths 5.990, 4.016, 22.885 Å; angles 84.62, 90.00, 90.00 degrees
Element x y z (fractional)
Hg  0.837  0.552  0.129
Hg  0.337  0.448  0.371
Hg  0.398  0.191  0.859
Hg  0.898  0.809  0.641
Hg  0.855  0.888  0.372
Hg  0.355  0.112  0.128
Hg  0.500  0.761  0.729
Hg  0.000  0.239  0.771
Hg  0.994  0.176  0.269
Hg  0.494  0.824  0.231
Hg  0.589  0.632  0.987
Hg  0.089  0.368  0.513
Hg  0.022  0.683  0.875
Hg  0.522  0.317  0.625
I  0.588  0.877  0.476
I  0.088  0.123  0.024
O  0.616  0.669  0.898
O  0.093  0.470  0.188
O  0.593  0.530  0.312
O  0.116  0.331  0.602
O  0.053  0.392  0.422
O  0.553  0.608  0.078
O  0.111  0.761  0.729
O  0.611  0.239  0.771

Computed properties:
Fermi-level density of states: 0.178 states/eV per atom

***

[6]
## Hg2IO5 (PBE-GGA)

Data for Hg2IO5 after structural relaxation.

Cell lengths 4.052, 6.284, 10.975 Å; angles 90.00, 90.00, 108.81 degrees
Element x y z (fractional)
Hg  0.860  0.719  0.423
Hg  0.860  0.719  0.077
Hg  0.140  0.281  0.577
Hg  0.140  0.281  0.923
I  0.840  0.679  0.750
I  0.160  0.321  0.250
O  0.948  0.896  0.878
O  0.948  0.896  0.622
O  0.285  0.570  0.386
O  0.285  0.570  0.114
O  0.686  0.372  0.250
O  0.314  0.628  0.750
O  0.715  0.430  0.614
O  0.715  0.430  0.886
O  0.052  0.104  0.122
O  0.052  0.104  0.378

Computed properties:
Energy above the lowest structure with this stoichiometry: 0.0 meV/atom
Fermi-level density of states: 0.311 states/eV per atom

***

[7]
## Hg2IO4 (PBE-GGA)

Data for Hg2IO4 after structural relaxation.

Cell lengths 6.843, 6.151, 7.229 Å; angles 90.00, 119.29, 90.00 degrees
Element x y z (fractional)
Hg  0.731  0.750  0.036
Hg  0.269  0.250  0.964
Hg  0.908  0.250  0.349
Hg  0.092  0.750  0.651
I  0.336  0.750  0.261
I  0.664  0.250  0.739
O  0.482  0.507  0.216
O  0.099  0.750  0.979
O  0.901  0.250  0.021
O  0.482  0.993  0.216
O  0.947  0.250  0.678
O  0.518  0.007  0.784
O  0.518  0.493  0.784
O  0.053  0.750  0.322

Computed properties:
Fermi-level density of states: 0.206 states/eV per atom

***

[8]
## Hg2IO (PBE-GGA)

Data for Hg2IO after structural relaxation.

Cell lengths 5.049, 5.049, 5.049 Å; angles 60.00, 60.00, 60.00 degrees
Element x y z (fractional)
I  0.500  0.500  0.500
Hg  0.250  0.250  0.250
Hg  0.750  0.750  0.750
O  0.000  0.000  0.000

Computed properties:
Fermi-level density of states: 0.562 states/eV per atom

***

Number 1: formation energy from raw total energies -69 meV per atom. Number 2: formation energy from raw total energies -232 meV per atom. Number 3: formation energy from raw total energies 34 meV per atom. Number 4: formation energy from raw total energies -184 meV per atom. Number 5: formation energy from raw total energies -142 meV per atom. Number 6: formation energy from raw total energies -181 meV per atom. Number 7: formation energy from raw total energies -112 meV per atom. Number 8: formation energy from raw total energies 524 meV per atom.